# Rb3Ru2O8, optimized geometry, DFT GGA-PBE
# DOS(E_F), states/eV/atom: 0.869
# Energy relative to the elements, uncorrected, eV per atom: -1.247
data_Rb3Ru2O8
_chemical_formula_sum 'Rb3 Ru2 O8'
_symmetry_space_group_name_H-M 'P 1'
_symmetry_Int_Tables_number 1
_symmetry_space_group_name_Hall 'P 1'
_cell_length_a 8.3988
_cell_length_b 8.3988
_cell_length_c 8.3988
_cell_angle_alpha 43.90
_cell_angle_beta 43.90
_cell_angle_gamma 43.90
loop_
_atom_site_label
_atom_site_type_symbol
_atom_site_fract_x
_atom_site_fract_y
_atom_site_fract_z
Rb1 Rb 0.0000 0.0000 0.0000
Rb2 Rb 0.2017 0.2017 0.2017
Rb3 Rb 0.7983 0.7983 0.7983
Ru1 Ru 0.4061 0.4061 0.4061
Ru2 Ru 0.5939 0.5939 0.5939
O1 O 0.2597 0.7210 0.7210
O2 O 0.2790 0.2790 0.7403
O3 O 0.2790 0.7403 0.2790
O4 O 0.3283 0.3283 0.3283
O5 O 0.6717 0.6717 0.6717
O6 O 0.7210 0.2597 0.7210
O7 O 0.7210 0.7210 0.2597
O8 O 0.7403 0.2790 0.2790

# RbRu2O7, optimized geometry, DFT GGA-PBE
# DOS(E_F), states/eV/atom: 0.427
# Energy relative to the elements, uncorrected, eV per atom: -0.736
data_RbRu2O7
_chemical_formula_sum 'Rb1 Ru2 O7'
_symmetry_space_group_name_H-M 'P 1'
_symmetry_Int_Tables_number 1
_symmetry_space_group_name_Hall 'P 1'
_cell_length_a 6.1030
_cell_length_b 6.1030
_cell_length_c 3.8136
_cell_angle_alpha 90.00
_cell_angle_beta 90.00
_cell_angle_gamma 119.11
loop_
_atom_site_label
_atom_site_type_symbol
_atom_site_fract_x
_atom_site_fract_y
_atom_site_fract_z
Rb1 Rb 0.0000 0.0000 0.0000
Ru1 Ru 0.3101 0.6899 0.5000
Ru2 Ru 0.6899 0.3101 0.5000
O1 O 0.0326 0.3382 0.5000
O2 O 0.3096 0.6904 0.0000
O3 O 0.3382 0.0326 0.5000
O4 O 0.5000 0.5000 0.5000
O5 O 0.6618 0.9674 0.5000
O6 O 0.6904 0.3096 0.0000
O7 O 0.9674 0.6618 0.5000

# RbRuO3, optimized geometry, DFT GGA-PBE
# DOS(E_F), states/eV/atom: 0.123
# Energy relative to the elements, uncorrected, eV per atom: -1.202
data_RbRuO3
_chemical_formula_sum 'Rb4 Ru4 O12'
_symmetry_space_group_name_H-M 'P 1'
_symmetry_Int_Tables_number 1
_symmetry_space_group_name_Hall 'P 1'
_cell_length_a 7.4880
_cell_length_b 5.5794
_cell_length_c 12.0463
_cell_angle_alpha 90.00
_cell_angle_beta 117.25
_cell_angle_gamma 90.00
loop_
_atom_site_label
_atom_site_type_symbol
_atom_site_fract_x
_atom_site_fract_y
_atom_site_fract_z
Rb1 Rb 0.2224 0.2308 0.1541
Rb2 Rb 0.2224 0.2692 0.6541
Rb3 Rb 0.7776 0.7308 0.3459
Rb4 Rb 0.7776 0.7692 0.8459
Ru1 Ru 0.4221 0.7496 0.0029
Ru2 Ru 0.4221 0.7504 0.5029
Ru3 Ru 0.5779 0.2496 0.4971
Ru4 Ru 0.5779 0.2504 0.9971
O1 O 0.1977 0.7489 0.5173
O2 O 0.1977 0.7511 0.0173
O3 O 0.3665 0.0488 0.8925
O4 O 0.3665 0.4512 0.3925
O5 O 0.4552 0.5495 0.8878
O6 O 0.4552 0.9505 0.3878
O7 O 0.5448 0.0495 0.6122
O8 O 0.5448 0.4505 0.1122
O9 O 0.6335 0.5488 0.6075
O10 O 0.6335 0.9512 0.1075
O11 O 0.8023 0.2489 0.9827
O12 O 0.8023 0.2511 0.4827

# RbRu2O2, optimized geometry, DFT GGA-PBE
# DOS(E_F), states/eV/atom: 0.689
# Offset from the most stable computed form, meV per atom: 0.0
# Energy relative to the elements, uncorrected, eV per atom: -0.299
data_RbRu2O2
_chemical_formula_sum 'Rb2 Ru4 O4'
_symmetry_space_group_name_H-M 'P 1'
_symmetry_Int_Tables_number 1
_symmetry_space_group_name_Hall 'P 1'
_cell_length_a 7.7641
_cell_length_b 7.7641
_cell_length_c 3.6759
_cell_angle_alpha 90.00
_cell_angle_beta 90.00
_cell_angle_gamma 90.00
loop_
_atom_site_label
_atom_site_type_symbol
_atom_site_fract_x
_atom_site_fract_y
_atom_site_fract_z
Rb1 Rb 0.0000 0.0000 0.0000
Rb2 Rb 0.5000 0.5000 0.0000
Ru1 Ru 0.1005 0.3995 0.5000
Ru2 Ru 0.3995 0.8995 0.5000
Ru3 Ru 0.6005 0.1005 0.5000
Ru4 Ru 0.8995 0.6005 0.5000
O1 O 0.1451 0.3549 0.0000
O2 O 0.3549 0.8549 0.0000
O3 O 0.6451 0.1451 0.0000
O4 O 0.8549 0.6451 0.0000

# RbRuO3, optimized geometry, DFT GGA-PBE
# DOS(E_F), states/eV/atom: 1.344
# Energy relative to the elements, uncorrected, eV per atom: 1.616
data_RbRuO3
_chemical_formula_sum 'Rb1 Ru1 O3'
_symmetry_space_group_name_H-M 'P 1'
_symmetry_Int_Tables_number 1
_symmetry_space_group_name_Hall 'P 1'
_cell_length_a 4.2822
_cell_length_b 4.2822
_cell_length_c 4.2822
_cell_angle_alpha 90.00
_cell_angle_beta 90.00
_cell_angle_gamma 90.00
loop_
_atom_site_label
_atom_site_type_symbol
_atom_site_fract_x
_atom_site_fract_y
_atom_site_fract_z
Rb1 Rb 0.0000 0.0000 0.0000
Ru1 Ru 0.5000 0.5000 0.5000
O1 O 0.0000 0.0000 0.5000
O2 O 0.0000 0.5000 0.0000
O3 O 0.5000 0.0000 0.0000

# RbRuS2O8, optimized geometry, DFT GGA-PBE
# DOS(E_F), states/eV/atom: 0.201
# Energy relative to the elements, uncorrected, eV per atom: -1.329
data_RbRuS2O8
_chemical_formula_sum 'Rb1 Ru1 S2 O8'
_symmetry_space_group_name_H-M 'P 1'
_symmetry_Int_Tables_number 1
_symmetry_space_group_name_Hall 'P 1'
_cell_length_a 4.8631
_cell_length_b 4.8631
_cell_length_c 8.6873
_cell_angle_alpha 90.00
_cell_angle_beta 90.00
_cell_angle_gamma 120.00
loop_
_atom_site_label
_atom_site_type_symbol
_atom_site_fract_x
_atom_site_fract_y
_atom_site_fract_z
Rb1 Rb 0.0000 0.0000 0.0000
Ru1 Ru 0.0000 0.0000 0.5000
S1 S 0.3333 0.6667 0.6997
S2 S 0.6667 0.3333 0.3003
O1 O 0.0544 0.3616 0.6433
O2 O 0.3072 0.9456 0.6433
O3 O 0.3333 0.6667 0.8682
O4 O 0.3616 0.3072 0.3567
O5 O 0.6384 0.6928 0.6433
O6 O 0.6667 0.3333 0.1318
O7 O 0.6928 0.0544 0.3567
O8 O 0.9456 0.6384 0.3567

# RbSbRu2O, optimized geometry, DFT GGA-PBE
# DOS(E_F), states/eV/atom: 2.013
# Energy relative to the elements, uncorrected, eV per atom: 2.117
data_RbSbRu2O
_chemical_formula_sum 'Rb1 Sb1 Ru2 O1'
_symmetry_space_group_name_H-M 'P 1'
_symmetry_Int_Tables_number 1
_symmetry_space_group_name_Hall 'P 1'
_cell_length_a 5.0851
_cell_length_b 5.0851
_cell_length_c 4.1001
_cell_angle_alpha 90.00
_cell_angle_beta 90.00
_cell_angle_gamma 90.00
loop_
_atom_site_label
_atom_site_type_symbol
_atom_site_fract_x
_atom_site_fract_y
_atom_site_fract_z
Rb1 Rb 0.0000 0.0000 0.0000
Sb1 Sb 0.5000 0.5000 0.5000
Ru1 Ru 0.0000 0.5000 0.0000
Ru2 Ru 0.5000 0.0000 0.0000
O1 O 0.0000 0.0000 0.5000

# RbScRuO6, optimized geometry, DFT GGA-PBE
# Energy relative to the elements, uncorrected, eV per atom: -1.510
data_RbScRuO6
_chemical_formula_sum 'Rb1 Sc1 Ru1 O6'
_symmetry_space_group_name_H-M 'P 1'
_symmetry_Int_Tables_number 1
_symmetry_space_group_name_Hall 'P 1'
_cell_length_a 5.4130
_cell_length_b 5.4130
_cell_length_c 6.2261
_cell_angle_alpha 90.00
_cell_angle_beta 90.00
_cell_angle_gamma 120.00
loop_
_atom_site_label
_atom_site_type_symbol
_atom_site_fract_x
_atom_site_fract_y
_atom_site_fract_z
Rb1 Rb 0.0000 0.0000 0.0000
Sc1 Sc 0.3333 0.6667 0.5000
Ru1 Ru 0.6667 0.3333 0.5000
O1 O 0.4146 0.0300 0.6780
O2 O 0.4146 0.3846 0.3220
O3 O 0.6154 0.0300 0.3220
O4 O 0.6154 0.5854 0.6780
O5 O 0.9700 0.3846 0.6780
O6 O 0.9700 0.5854 0.3220

# Rb3Sm3RuO8, optimized geometry, DFT GGA-PBE
# DOS(E_F), states/eV/atom: 0.406
# Energy relative to the elements, uncorrected, eV per atom: -2.242
data_Rb3Sm3RuO8
_chemical_formula_sum 'Rb3 Sm3 Ru1 O8'
_symmetry_space_group_name_H-M 'P 1'
_symmetry_Int_Tables_number 1
_symmetry_space_group_name_Hall 'P 1'
_cell_length_a 7.7298
_cell_length_b 7.7298
_cell_length_c 7.7298
_cell_angle_alpha 53.56
_cell_angle_beta 53.56
_cell_angle_gamma 53.56
loop_
_atom_site_label
_atom_site_type_symbol
_atom_site_fract_x
_atom_site_fract_y
_atom_site_fract_z
Rb1 Rb 0.0000 0.5000 0.5000
Rb2 Rb 0.5000 0.0000 0.5000
Rb3 Rb 0.5000 0.5000 0.0000
Sm1 Sm 0.0000 0.0000 0.5000
Sm2 Sm 0.0000 0.5000 0.0000
Sm3 Sm 0.5000 0.0000 0.0000
Ru1 Ru 0.5000 0.5000 0.5000
O1 O 0.2260 0.2260 0.2260
O2 O 0.2545 0.7053 0.7053
O3 O 0.2947 0.2947 0.7455
O4 O 0.2947 0.7455 0.2947
O5 O 0.7053 0.2545 0.7053
O6 O 0.7053 0.7053 0.2545
O7 O 0.7455 0.2947 0.2947
O8 O 0.7740 0.7740 0.7740

# Rb2SmRuO6, optimized geometry, DFT GGA-PBE
# DOS(E_F), states/eV/atom: 0.511
# Energy relative to the elements, uncorrected, eV per atom: -1.558
data_Rb2SmRuO6
_chemical_formula_sum 'Rb2 Sm1 Ru1 O6'
_symmetry_space_group_name_H-M 'P 1'
_symmetry_Int_Tables_number 1
_symmetry_space_group_name_Hall 'P 1'
_cell_length_a 6.4241
_cell_length_b 6.4241
_cell_length_c 5.8865
_cell_angle_alpha 90.00
_cell_angle_beta 90.00
_cell_angle_gamma 120.00
loop_
_atom_site_label
_atom_site_type_symbol
_atom_site_fract_x
_atom_site_fract_y
_atom_site_fract_z
Rb1 Rb 0.3333 0.6667 0.1162
Rb2 Rb 0.6667 0.3333 0.8838
Sm1 Sm 0.0000 0.0000 0.5000
Ru1 Ru 0.0000 0.0000 0.0000
O1 O 0.1369 0.2737 0.7997
O2 O 0.1369 0.8631 0.7997
O3 O 0.2737 0.1369 0.2003
O4 O 0.7263 0.8631 0.7997
O5 O 0.8631 0.1369 0.2003
O6 O 0.8631 0.7263 0.2003

# Rb4Sm3RuO8, optimized geometry, DFT GGA-PBE
# DOS(E_F), states/eV/atom: 0.546
# Energy relative to the elements, uncorrected, eV per atom: -2.101
data_Rb4Sm3RuO8
_chemical_formula_sum 'Rb4 Sm3 Ru1 O8'
_symmetry_space_group_name_H-M 'P 1'
_symmetry_Int_Tables_number 1
_symmetry_space_group_name_Hall 'P 1'
_cell_length_a 7.6892
_cell_length_b 7.6892
_cell_length_c 7.6892
_cell_angle_alpha 54.26
_cell_angle_beta 54.26
_cell_angle_gamma 54.26
loop_
_atom_site_label
_atom_site_type_symbol
_atom_site_fract_x
_atom_site_fract_y
_atom_site_fract_z
Rb1 Rb 0.0000 0.0000 0.0000
Rb2 Rb 0.0000 0.5000 0.5000
Rb3 Rb 0.5000 0.0000 0.5000
Rb4 Rb 0.5000 0.5000 0.0000
Sm1 Sm 0.0000 0.0000 0.5000
Sm2 Sm 0.0000 0.5000 0.0000
Sm3 Sm 0.5000 0.0000 0.0000
Ru1 Ru 0.5000 0.5000 0.5000
O1 O 0.2271 0.2271 0.2271
O2 O 0.2435 0.7170 0.7170
O3 O 0.2830 0.2830 0.7565
O4 O 0.2830 0.7565 0.2830
O5 O 0.7170 0.2435 0.7170
O6 O 0.7170 0.7170 0.2435
O7 O 0.7565 0.2830 0.2830
O8 O 0.7729 0.7729 0.7729

# Rb2Sr2RuO6, optimized geometry, DFT GGA-PBE
# DOS(E_F), states/eV/atom: 0.722
# Energy relative to the elements, uncorrected, eV per atom: -1.729
data_Rb2Sr2RuO6
_chemical_formula_sum 'Rb2 Sr2 Ru1 O6'
_symmetry_space_group_name_H-M 'P 1'
_symmetry_Int_Tables_number 1
_symmetry_space_group_name_Hall 'P 1'
_cell_length_a 6.0239
_cell_length_b 6.0239
_cell_length_c 6.8205
_cell_angle_alpha 97.81
_cell_angle_beta 97.81
_cell_angle_gamma 118.51
loop_
_atom_site_label
_atom_site_type_symbol
_atom_site_fract_x
_atom_site_fract_y
_atom_site_fract_z
Rb1 Rb 0.1640 0.8360 0.0000
Rb2 Rb 0.8360 0.1640 0.0000
Sr1 Sr 0.3371 0.6629 0.5000
Sr2 Sr 0.6629 0.3371 0.5000
Ru1 Ru 0.0000 0.0000 0.5000
O1 O 0.0474 0.3218 0.6671
O2 O 0.2117 0.2117 0.3256
O3 O 0.3218 0.0474 0.6671
O4 O 0.6782 0.9526 0.3329
O5 O 0.7883 0.7883 0.6744
O6 O 0.9526 0.6782 0.3329

Number 1: VASP energy -5.9486 eV per atom. Number 2: VASP energy -6.1582 eV per atom. Number 3: VASP energy -6.2258 eV per atom. Number 4: VASP energy -6.1864 eV per atom. Number 5: VASP energy -3.4076 eV per atom. Number 6: VASP energy -6.1760 eV per atom. Number 7: VASP energy -3.6032 eV per atom. Number 8: VASP energy -6.6567 eV per atom. Number 9: VASP energy -6.6422 eV per atom. Number 10: VASP energy -6.1262 eV per atom. Number 11: VASP energy -6.2868 eV per atom. Number 12: VASP energy -5.7586 eV per atom.